DFT (GGA-PBE) results for a geometry-optimized BeAlS2N structure.

Properties
The calculation puts the formation energy without anion corrections at 388 meV/atom. For the density of states at the Fermi level, the calculation gives 1.791 states/eV/cell.

Lattice parameters (Å, degrees): 4.563 4.563 3.202 90.00 90.00 90.00
Element x y z (fractional)
Be: 0.000 0.000 0.000
Al: 0.500 0.500 0.500
S: 0.000 0.500 0.000
S: 0.500 0.000 0.000
N: 0.000 0.000 0.500